# 1
## GaAsPbO6 (GGA-PBE)

Data for GaAsPbO6 after structural relaxation.

Lattice parameters (Å, degrees): 5.0712 5.0712 9.2567 90.00 90.00 120.00
With the nearest neighbours (Å) after each atom.
Sites, in units of the cell vectors:
Ga  0.3333  0.6667  0.2500  6 O 1.98
Ga  0.6667  0.3333  0.7500  6 O 1.98
As  0.3333  0.6667  0.7500  6 O 1.87
As  0.6667  0.3333  0.2500  6 O 1.87
Pb  0.0000  0.0000  0.0000  6 O 2.25
Pb  0.0000  0.0000  0.5000  6 O 2.25
O  0.0174  0.3743  0.6372  1 As 1.87, 1 Ga 1.98
O  0.0174  0.6431  0.8628  1 As 1.87, 1 Ga 1.98
O  0.3569  0.3743  0.8628  1 As 1.87, 1 Ga 1.98
O  0.3569  0.9826  0.6372  1 As 1.87, 1 Ga 1.98
O  0.3743  0.0174  0.1372  1 As 1.87, 1 Ga 1.98
O  0.3743  0.3569  0.3628  1 As 1.87, 1 Ga 1.98
O  0.6257  0.6431  0.6372  1 As 1.87, 1 Ga 1.98
O  0.6257  0.9826  0.8628  1 As 1.87, 1 Ga 1.98
O  0.6431  0.0174  0.3628  1 As 1.87, 1 Ga 1.98
O  0.6431  0.6257  0.1372  1 As 1.87, 1 Ga 1.98
O  0.9826  0.3569  0.1372  1 As 1.87, 1 Ga 1.98
O  0.9826  0.6257  0.3628  1 As 1.87, 1 Ga 1.98

energy relative to the elements, uncorrected = -1240.9 meV/atom

---

# 2
## YCd2Au (GGA-PBE)

Data for YCd2Au after structural relaxation.

Lattice parameters (Å, degrees): 5.8552 5.8552 5.0282 115.11 115.11 36.71
With the nearest neighbours (Å) after each atom.
Sites, in units of the cell vectors:
Y  0.0000  0.0000  0.0000  4 Au 3.12, 8 Cd 3.26-3.40
Cd  0.2293  0.2293  0.7296  2 Au 2.93, 4 Cd 3.14-3.15, 2 Y 3.26
Cd  0.7707  0.7707  0.2704  2 Au 2.93, 4 Cd 3.14-3.15, 2 Y 3.26
Au  0.5000  0.5000  0.5000  4 Cd 2.93, 4 Y 3.12

energy of formation = -0.37 eV per atom

---

# 3
## La2TaSiBi (GGA-PBE)

Data for La2TaSiBi after structural relaxation.

Lattice parameters (Å, degrees): 6.0470 6.0470 5.0272 90.00 90.00 90.00
With the nearest neighbours (Å) after each atom.
Sites, in units of the cell vectors:
La  0.0000  0.5000  0.0000  2 Bi 3.02
La  0.5000  0.0000  0.0000  2 Bi 3.02
Ta  0.0000  0.0000  0.5000  8 La 3.93, 4 Si 4.28
Si  0.5000  0.5000  0.5000  2 Bi 2.51
Bi  0.5000  0.5000  0.0000  2 Si 2.51

energy relative to the elements, uncorrected = 1314.1 meV/atom

---

# 4
## SrAlAgH6 (GGA-PBE)

Data for SrAlAgH6 after structural relaxation.

Lattice parameters (Å, degrees): 5.0560 5.0560 4.9325 90.00 90.00 120.00
With the nearest neighbours (Å) after each atom.
Sites, in units of the cell vectors:
Sr  0.0000  0.0000  0.0000  6 H 2.38
Al  0.6667  0.3333  0.5000  6 H 1.77
Ag  0.3333  0.6667  0.5000  6 H 2.04
H  0.3972  0.0407  0.7120  1 Al 1.77
H  0.3972  0.3565  0.2880  1 Al 1.77
H  0.6435  0.0407  0.2880  1 Al 1.77
H  0.6435  0.6028  0.7120  1 Al 1.77
H  0.9593  0.3565  0.7120  1 Al 1.77
H  0.9593  0.6028  0.2880  1 Al 1.77

raw total energy = -3.258 eV per atom

---

# 5
## CaSbI2Cl (GGA-PBE)

Data for CaSbI2Cl after structural relaxation.

Lattice parameters (Å, degrees): 5.8171 5.8171 6.4657 90.00 90.00 90.00
With the nearest neighbours (Å) after each atom.
Sites, in units of the cell vectors:
Ca  0.0000  0.0000  0.0000  4 I 2.91, 2 Sb 3.23
Sb  0.0000  0.0000  0.5000  2 Ca 3.23
I  0.0000  0.5000  0.0000  2 Ca 2.91
I  0.5000  0.0000  0.0000  2 Ca 2.91
Cl  0.5000  0.5000  0.5000  4 Sb 4.11, 8 I 4.35

energy relative to the elements, uncorrected = -208.7 meV/atom

---

# 6
## ErTaO4 (GGA-PBE)

Data for ErTaO4 after structural relaxation.

Lattice parameters (Å, degrees): 7.5785 5.3083 7.5765 90.00 98.29 90.00
With the nearest neighbours (Å) after each atom.
Sites, in units of the cell vectors:
Er  0.1469  0.2210  0.3852  5 O 2.20-2.37
Er  0.1469  0.2790  0.8852  5 O 2.20-2.37
Er  0.8531  0.7210  0.1148  5 O 2.20-2.37
Er  0.8531  0.7790  0.6148  5 O 2.20-2.37
Ta  0.3355  0.7307  0.1841  6 O 1.93-2.07
Ta  0.3355  0.7693  0.6841  6 O 1.93-2.07
Ta  0.6645  0.2307  0.3159  6 O 1.93-2.07
Ta  0.6645  0.2693  0.8159  6 O 1.93-2.07
O  0.1082  0.5175  0.1735  1 Ta 2.05, 2 Er 2.20-2.24
O  0.1082  0.9825  0.6735  1 Ta 2.05, 2 Er 2.20-2.24
O  0.1783  0.0103  0.1164  1 Ta 1.93
O  0.1783  0.4897  0.6164  1 Ta 1.93
O  0.3289  0.6235  0.9355  2 Ta 1.96-2.06
O  0.3289  0.8765  0.4355  2 Ta 1.96-2.06
O  0.4326  0.0986  0.8089  2 Ta 1.97-2.07
O  0.4326  0.4014  0.3089  2 Ta 1.97-2.07
O  0.5674  0.5986  0.6911  2 Ta 1.97-2.07
O  0.5674  0.9014  0.1911  2 Ta 1.97-2.07
O  0.6711  0.1235  0.5645  2 Ta 1.96-2.06
O  0.6711  0.3765  0.0645  2 Ta 1.96-2.06
O  0.8217  0.5103  0.3836  1 Ta 1.93
O  0.8217  0.9897  0.8836  1 Ta 1.93
O  0.8918  0.0175  0.3265  1 Ta 2.05, 2 Er 2.20-2.24
O  0.8918  0.4825  0.8265  1 Ta 2.05, 2 Er 2.20-2.24

energy relative to the elements, uncorrected = -3262.7 meV/atom

---

# 7
## Sc3HPb (GGA-PBE)

Data for Sc3HPb after structural relaxation.

Lattice parameters (Å, degrees): 5.8396 5.8396 6.1836 90.00 90.00 116.21
With the nearest neighbours (Å) after each atom.
Sites, in units of the cell vectors:
Sc  0.2460  0.7540  0.7500  1 H 2.03
Sc  0.2481  0.2481  0.0000  2 H 2.25
Sc  0.2481  0.2481  0.5000  2 H 2.25
Sc  0.7519  0.7519  0.0000  2 H 2.25
Sc  0.7519  0.7519  0.5000  2 H 2.25
Sc  0.7540  0.2460  0.2500  1 H 2.03
H  0.4503  0.5497  0.7500  5 Sc 2.03-2.25
H  0.5497  0.4503  0.2500  5 Sc 2.03-2.25
Pb  0.2444  0.7556  0.2500  1 H 3.03, 12 Sc 3.09-3.35
Pb  0.7556  0.2444  0.7500  1 H 3.03, 12 Sc 3.09-3.35

raw total energy = -5.614 eV per atom

---

# 8
## Ac2Zn4Hg3Au (GGA-PBE)

Data for Ac2Zn4Hg3Au after structural relaxation.

Lattice parameters (Å, degrees): 4.6897 4.6897 10.7149 90.00 90.00 90.00
With the nearest neighbours (Å) after each atom.
Sites, in units of the cell vectors:
Ac  0.0000  0.5000  0.2472  2 Au 3.54, 6 Hg 3.54-3.57, 8 Zn 3.57-3.58
Ac  0.5000  0.0000  0.7528  2 Au 3.54, 6 Hg 3.54-3.57, 8 Zn 3.57-3.58
Zn  0.0000  0.0000  0.5000  4 Hg 2.73
Zn  0.0000  0.5000  0.8755  3 Hg 2.63-2.70, 2 Au 2.70
Zn  0.5000  0.0000  0.1245  3 Hg 2.63-2.70, 2 Au 2.70
Zn  0.5000  0.5000  0.5000  4 Hg 2.73
Hg  0.0000  0.0000  0.0000  4 Zn 2.70
Hg  0.0000  0.5000  0.6301  5 Zn 2.63-2.73
Hg  0.5000  0.0000  0.3699  5 Zn 2.63-2.73
Au  0.5000  0.5000  0.0000  4 Zn 2.70

energy of formation = -0.36 eV per atom